[1]
CrFe2PbO6 | PBE with a Hubbard U | optimized geometry

Computed properties:
Energy in eV per formula unit: -65.9

Geometry as CIF:
```
data_CrFe2PbO6
_chemical_formula_sum 'Cr1 Fe2 Pb1 O6'
_cell_length_a 5.319
_cell_length_b 5.322
_cell_length_c 5.712
_cell_angle_alpha 89.90
_cell_angle_beta 118.03
_cell_angle_gamma 120.31
_space_group_name_H-M_alt 'P 1'
_space_group_IT_number 1
loop_
_space_group_symop_operation_xyz
'x,y,z'
loop_
_atom_site_label
_atom_site_type_symbol
_atom_site_fract_x
_atom_site_fract_y
_atom_site_fract_z
Cr1 Cr 0.992 0.995 0.973
Fe1 Fe 0.570 0.781 0.345
Fe2 Fe 0.601 0.301 0.889
Pb1 Pb 0.015 0.508 0.509
O1 O 0.524 0.929 0.699
O2 O 0.477 0.099 0.165
O3 O 0.806 0.707 0.168
O4 O 0.089 0.381 0.168
O5 O 0.783 0.595 0.697
O6 O 0.108 0.181 0.691
```

[2]
Pm2CrFeO6 | PBE with a Hubbard U | optimized geometry

Computed properties:
Energy in eV per formula unit: -76.2

Geometry as CIF:
```
data_Pm2CrFeO6
_chemical_formula_sum 'Pm2 Cr1 Fe1 O6'
_cell_length_a 4.058
_cell_length_b 5.456
_cell_length_c 5.456
_cell_angle_alpha 90.00
_cell_angle_beta 90.00
_cell_angle_gamma 90.00
_space_group_name_H-M_alt 'P 1'
_space_group_IT_number 1
loop_
_space_group_symop_operation_xyz
'x,y,z'
loop_
_atom_site_label
_atom_site_type_symbol
_atom_site_fract_x
_atom_site_fract_y
_atom_site_fract_z
Pm1 Pm 0.061 0.500 0.000
Pm2 Pm 0.061 0.000 0.500
Cr1 Cr 0.631 0.000 0.000
Fe1 Fe 0.633 0.500 0.500
O1 O 0.689 0.250 0.250
O2 O 0.689 0.250 0.750
O3 O 0.153 0.500 0.500
O4 O 0.150 0.000 0.000
O5 O 0.689 0.750 0.750
O6 O 0.689 0.750 0.250
```

[3]
Cr2FePtO8 | PBE with a Hubbard U | optimized geometry

Computed properties:
Energy in eV per formula unit: -79.9

Geometry as CIF:
```
data_Cr2FePtO8
_chemical_formula_sum 'Cr2 Fe1 Pt1 O8'
_cell_length_a 4.526
_cell_length_b 4.522
_cell_length_c 6.074
_cell_angle_alpha 90.00
_cell_angle_beta 90.00
_cell_angle_gamma 90.41
_space_group_name_H-M_alt 'P 1'
_space_group_IT_number 1
loop_
_space_group_symop_operation_xyz
'x,y,z'
loop_
_atom_site_label
_atom_site_type_symbol
_atom_site_fract_x
_atom_site_fract_y
_atom_site_fract_z
Cr1 Cr 0.500 0.500 0.745
Cr2 Cr 0.500 0.500 0.255
Fe1 Fe 0.000 0.000 0.500
Pt1 Pt 0.000 0.000 0.000
O1 O 0.193 0.806 0.256
O2 O 0.692 0.693 0.000
O3 O 0.807 0.195 0.256
O4 O 0.807 0.194 0.744
O5 O 0.308 0.307 0.000
O6 O 0.193 0.805 0.744
O7 O 0.695 0.696 0.500
O8 O 0.305 0.304 0.500
```

[4]
RbCr2FeO8 | PBE with a Hubbard U | optimized geometry

Computed properties:
Energy in eV per formula unit: -78.1

Geometry as CIF:
```
data_RbCr2FeO8
_chemical_formula_sum 'Rb4 Cr8 Fe4 O32'
_cell_length_a 5.534
_cell_length_b 9.026
_cell_length_c 15.104
_cell_angle_alpha 90.00
_cell_angle_beta 90.00
_cell_angle_gamma 90.00
_space_group_name_H-M_alt 'P 1'
_space_group_IT_number 1
loop_
_space_group_symop_operation_xyz
'x,y,z'
loop_
_atom_site_label
_atom_site_type_symbol
_atom_site_fract_x
_atom_site_fract_y
_atom_site_fract_z
Rb1 Rb 0.250 0.947 0.383
Rb2 Rb 0.750 0.053 0.617
Rb3 Rb 0.750 0.447 0.117
Rb4 Rb 0.250 0.553 0.883
Cr1 Cr 0.750 0.250 0.332
Cr2 Cr 0.250 0.750 0.668
Cr3 Cr 0.250 0.750 0.168
Cr4 Cr 0.750 0.250 0.832
Cr5 Cr 0.750 0.684 0.439
Cr6 Cr 0.250 0.316 0.561
Cr7 Cr 0.250 0.184 0.061
Cr8 Cr 0.750 0.816 0.939
Fe1 Fe 0.250 0.494 0.344
Fe2 Fe 0.750 0.506 0.656
Fe3 Fe 0.750 0.994 0.156
Fe4 Fe 0.250 0.006 0.844
O1 O 0.750 0.861 0.459
O2 O 0.250 0.139 0.541
O3 O 0.250 0.361 0.041
O4 O 0.750 0.639 0.959
O5 O 0.250 0.717 0.063
O6 O 0.750 0.283 0.937
O7 O 0.750 0.217 0.437
O8 O 0.250 0.783 0.563
O9 O 0.250 0.411 0.466
O10 O 0.750 0.589 0.534
O11 O 0.750 0.911 0.034
O12 O 0.250 0.089 0.966
O13 O 0.250 0.585 0.221
O14 O 0.750 0.415 0.779
O15 O 0.750 0.085 0.279
O16 O 0.250 0.915 0.721
O17 O 0.996 0.348 0.304
O18 O 0.496 0.652 0.696
O19 O 0.004 0.848 0.196
O20 O 0.504 0.152 0.804
O21 O 0.004 0.652 0.696
O22 O 0.504 0.348 0.304
O23 O 0.996 0.152 0.804
O24 O 0.496 0.848 0.196
O25 O 0.002 0.143 0.121
O26 O 0.502 0.857 0.879
O27 O 0.998 0.643 0.379
O28 O 0.498 0.357 0.621
O29 O 0.998 0.857 0.879
O30 O 0.498 0.143 0.121
O31 O 0.002 0.357 0.621
O32 O 0.502 0.643 0.379
```

[5]
RbCr2FeO8 | PBE with a Hubbard U | optimized geometry

Computed properties:
Energy in eV per formula unit: -78.2

Geometry as CIF:
```
data_RbCr2FeO8
_chemical_formula_sum 'Rb1 Cr2 Fe1 O8'
_cell_length_a 5.396
_cell_length_b 5.396
_cell_length_c 7.975
_cell_angle_alpha 90.00
_cell_angle_beta 90.00
_cell_angle_gamma 120.00
_space_group_name_H-M_alt 'P 1'
_space_group_IT_number 1
loop_
_space_group_symop_operation_xyz
'x,y,z'
loop_
_atom_site_label
_atom_site_type_symbol
_atom_site_fract_x
_atom_site_fract_y
_atom_site_fract_z
Rb1 Rb 0.000 0.000 0.000
Cr1 Cr 0.667 0.333 0.284
Cr2 Cr 0.333 0.667 0.716
Fe1 Fe 0.000 0.000 0.500
O1 O 0.333 0.667 0.920
O2 O 0.335 0.236 0.350
O3 O 0.764 0.099 0.350
O4 O 0.667 0.333 0.080
O5 O 0.236 0.901 0.650
O6 O 0.665 0.764 0.650
O7 O 0.099 0.335 0.650
O8 O 0.901 0.665 0.350
```

[6]
Rb2CrFeO4 | PBE with a Hubbard U | optimized geometry

Computed properties:
Energy in eV per formula unit: -46.1

Geometry as CIF:
```
data_Rb2CrFeO4
_chemical_formula_sum 'Rb4 Cr2 Fe2 O8'
_cell_length_a 5.328
_cell_length_b 6.680
_cell_length_c 10.537
_cell_angle_alpha 84.21
_cell_angle_beta 75.35
_cell_angle_gamma 66.50
_space_group_name_H-M_alt 'P 1'
_space_group_IT_number 1
loop_
_space_group_symop_operation_xyz
'x,y,z'
loop_
_atom_site_label
_atom_site_type_symbol
_atom_site_fract_x
_atom_site_fract_y
_atom_site_fract_z
Rb1 Rb 0.175 0.000 0.650
Rb2 Rb 0.825 0.000 0.350
Rb3 Rb 0.575 0.500 0.850
Rb4 Rb 0.925 0.500 0.150
Cr1 Cr 0.750 0.500 0.500
Cr2 Cr 0.000 0.000 0.000
Fe1 Fe 0.250 0.500 0.500
Fe2 Fe 0.500 0.000 0.000
O1 O 0.255 0.836 0.092
O2 O 0.182 0.164 0.908
O3 O 0.910 0.836 0.908
O4 O 0.653 0.164 0.092
O5 O 0.495 0.664 0.408
O6 O 0.568 0.336 0.592
O7 O 0.840 0.664 0.592
O8 O 0.097 0.336 0.408
```

[7]
Cr2FeRhO6 | PBE with a Hubbard U | optimized geometry

Computed properties:
Energy in eV per formula unit: -71.2

Geometry as CIF:
```
data_Cr2FeRhO6
_chemical_formula_sum 'Cr2 Fe1 Rh1 O6'
_cell_length_a 5.064
_cell_length_b 5.064
_cell_length_c 5.455
_cell_angle_alpha 62.36
_cell_angle_beta 62.36
_cell_angle_gamma 60.01
_space_group_name_H-M_alt 'P 1'
_space_group_IT_number 1
loop_
_space_group_symop_operation_xyz
'x,y,z'
loop_
_atom_site_label
_atom_site_type_symbol
_atom_site_fract_x
_atom_site_fract_y
_atom_site_fract_z
Cr1 Cr 0.515 0.515 0.455
Cr2 Cr 0.014 0.014 0.957
Fe1 Fe 0.817 0.817 0.549
Rh1 Rh 0.319 0.319 0.043
O1 O 0.619 0.214 0.258
O2 O 0.214 0.909 0.258
O3 O 0.909 0.619 0.258
O4 O 0.418 0.728 0.746
O5 O 0.728 0.108 0.746
O6 O 0.108 0.418 0.746
```

[8]
Cr2FeRuO8 | PBE with a Hubbard U | optimized geometry

Computed properties:
Energy in eV per formula unit: -84.7

Geometry as CIF:
```
data_Cr2FeRuO8
_chemical_formula_sum 'Cr2 Fe1 Ru1 O8'
_cell_length_a 4.567
_cell_length_b 4.558
_cell_length_c 5.997
_cell_angle_alpha 90.00
_cell_angle_beta 90.00
_cell_angle_gamma 90.60
_space_group_name_H-M_alt 'P 1'
_space_group_IT_number 1
loop_
_space_group_symop_operation_xyz
'x,y,z'
loop_
_atom_site_label
_atom_site_type_symbol
_atom_site_fract_x
_atom_site_fract_y
_atom_site_fract_z
Cr1 Cr 0.500 0.500 0.745
Cr2 Cr 0.500 0.500 0.255
Fe1 Fe 0.000 0.000 0.500
Ru1 Ru 0.000 0.000 0.000
O1 O 0.191 0.807 0.249
O2 O 0.698 0.700 0.000
O3 O 0.809 0.193 0.249
O4 O 0.809 0.193 0.751
O5 O 0.302 0.300 0.000
O6 O 0.191 0.807 0.751
O7 O 0.694 0.696 0.500
O8 O 0.306 0.304 0.500
```

[9]
Cr2FeSeO8 | PBE with a Hubbard U | optimized geometry

Computed properties:
Energy in eV per formula unit: -77.9

Geometry as CIF:
```
data_Cr2FeSeO8
_chemical_formula_sum 'Cr2 Fe1 Se1 O8'
_cell_length_a 4.537
_cell_length_b 4.534
_cell_length_c 5.946
_cell_angle_alpha 90.00
_cell_angle_beta 90.00
_cell_angle_gamma 90.34
_space_group_name_H-M_alt 'P 1'
_space_group_IT_number 1
loop_
_space_group_symop_operation_xyz
'x,y,z'
loop_
_atom_site_label
_atom_site_type_symbol
_atom_site_fract_x
_atom_site_fract_y
_atom_site_fract_z
Cr1 Cr 0.500 0.500 0.748
Cr2 Cr 0.500 0.500 0.252
Fe1 Fe 0.000 0.000 0.500
Se1 Se 0.000 0.000 0.000
O1 O 0.187 0.812 0.234
O2 O 0.707 0.708 0.000
O3 O 0.813 0.188 0.234
O4 O 0.813 0.188 0.766
O5 O 0.293 0.292 0.000
O6 O 0.187 0.812 0.766
O7 O 0.690 0.690 0.500
O8 O 0.310 0.310 0.500
```

[10]
Cr2Fe3Si3O12 | PBE with a Hubbard U | optimized geometry

Computed properties:
Energy in eV per formula unit: -150.9

Geometry as CIF:
```
data_Cr2Fe3Si3O12
_chemical_formula_sum 'Cr8 Fe12 Si12 O48'
_cell_length_a 10.258
_cell_length_b 10.258
_cell_length_c 10.258
_cell_angle_alpha 109.47
_cell_angle_beta 109.47
_cell_angle_gamma 109.47
_space_group_name_H-M_alt 'P 1'
_space_group_IT_number 1
loop_
_space_group_symop_operation_xyz
'x,y,z'
loop_
_atom_site_label
_atom_site_type_symbol
_atom_site_fract_x
_atom_site_fract_y
_atom_site_fract_z
Cr1 Cr 0.500 0.500 0.500
Cr2 Cr 0.500 0.000 0.500
Cr3 Cr 0.000 0.500 0.500
Cr4 Cr 0.500 0.500 0.000
Cr5 Cr 0.000 0.000 0.500
Cr6 Cr 0.000 0.500 0.000
Cr7 Cr 0.500 0.000 0.000
Cr8 Cr 0.000 0.000 0.000
Fe1 Fe 0.875 0.625 0.250
Fe2 Fe 0.625 0.250 0.875
Fe3 Fe 0.875 0.750 0.625
Fe4 Fe 0.750 0.625 0.875
Fe5 Fe 0.250 0.875 0.625
Fe6 Fe 0.625 0.875 0.750
Fe7 Fe 0.125 0.375 0.750
Fe8 Fe 0.375 0.750 0.125
Fe9 Fe 0.125 0.250 0.375
Fe10 Fe 0.250 0.375 0.125
Fe11 Fe 0.750 0.125 0.375
Fe12 Fe 0.375 0.125 0.250
Si1 Si 0.125 0.875 0.250
Si2 Si 0.875 0.125 0.750
Si3 Si 0.250 0.625 0.375
Si4 Si 0.375 0.250 0.625
Si5 Si 0.750 0.875 0.125
Si6 Si 0.125 0.750 0.875
Si7 Si 0.375 0.625 0.750
Si8 Si 0.625 0.750 0.375
Si9 Si 0.875 0.250 0.125
Si10 Si 0.250 0.125 0.875
Si11 Si 0.750 0.375 0.625
Si12 Si 0.625 0.375 0.250
O1 O 0.692 0.087 0.709
O2 O 0.104 0.983 0.692
O3 O 0.709 0.517 0.622
O4 O 0.622 0.709 0.517
O5 O 0.878 0.396 0.087
O6 O 0.087 0.878 0.396
O7 O 0.983 0.692 0.104
O8 O 0.413 0.104 0.622
O9 O 0.396 0.808 0.517
O10 O 0.983 0.791 0.878
O11 O 0.104 0.622 0.413
O12 O 0.517 0.396 0.808
O13 O 0.791 0.878 0.983
O14 O 0.709 0.692 0.087
O15 O 0.087 0.709 0.692
O16 O 0.622 0.413 0.104
O17 O 0.791 0.413 0.808
O18 O 0.808 0.517 0.396
O19 O 0.808 0.791 0.413
O20 O 0.878 0.983 0.791
O21 O 0.413 0.808 0.791
O22 O 0.396 0.087 0.878
O23 O 0.692 0.104 0.983
O24 O 0.517 0.622 0.709
O25 O 0.308 0.913 0.291
O26 O 0.896 0.017 0.308
O27 O 0.291 0.483 0.378
O28 O 0.378 0.291 0.483
O29 O 0.122 0.604 0.913
O30 O 0.913 0.122 0.604
O31 O 0.017 0.308 0.896
O32 O 0.587 0.896 0.378
O33 O 0.604 0.192 0.483
O34 O 0.017 0.209 0.122
O35 O 0.896 0.378 0.587
O36 O 0.483 0.604 0.192
O37 O 0.209 0.122 0.017
O38 O 0.291 0.308 0.913
O39 O 0.913 0.291 0.308
O40 O 0.378 0.587 0.896
O41 O 0.209 0.587 0.192
O42 O 0.192 0.483 0.604
O43 O 0.192 0.209 0.587
O44 O 0.122 0.017 0.209
O45 O 0.587 0.192 0.209
O46 O 0.604 0.913 0.122
O47 O 0.308 0.896 0.017
O48 O 0.483 0.378 0.291
```

[11]
SrCr4Fe3O12 | PBE with a Hubbard U | optimized geometry

Computed properties:
Energy in eV per formula unit: -142.5

Geometry as CIF:
```
data_SrCr4Fe3O12
_chemical_formula_sum 'Sr1 Cr4 Fe3 O12'
_cell_length_a 6.474
_cell_length_b 6.474
_cell_length_c 6.474
_cell_angle_alpha 109.47
_cell_angle_beta 109.47
_cell_angle_gamma 109.47
_space_group_name_H-M_alt 'P 1'
_space_group_IT_number 1
loop_
_space_group_symop_operation_xyz
'x,y,z'
loop_
_atom_site_label
_atom_site_type_symbol
_atom_site_fract_x
_atom_site_fract_y
_atom_site_fract_z
Sr1 Sr 0.000 0.000 0.000
Cr1 Cr 0.500 0.000 0.000
Cr2 Cr 0.500 0.500 0.500
Cr3 Cr 0.000 0.500 0.000
Cr4 Cr 0.000 0.000 0.500
Fe1 Fe 0.000 0.500 0.500
Fe2 Fe 0.500 0.500 0.000
Fe3 Fe 0.500 0.000 0.500
O1 O 0.313 0.821 0.133
O2 O 0.687 0.179 0.867
O3 O 0.687 0.821 0.508
O4 O 0.867 0.687 0.179
O5 O 0.821 0.133 0.313
O6 O 0.179 0.492 0.313
O7 O 0.492 0.313 0.179
O8 O 0.179 0.867 0.687
O9 O 0.313 0.179 0.492
O10 O 0.133 0.313 0.821
O11 O 0.821 0.508 0.687
O12 O 0.508 0.687 0.821
```

[12]
Sr3CrFe2O8 | PBE with a Hubbard U | optimized geometry

Computed properties:
Energy in eV per formula unit: -92.4

Geometry as CIF:
```
data_Sr3CrFe2O8
_chemical_formula_sum 'Sr3 Cr1 Fe2 O8'
_cell_length_a 5.614
_cell_length_b 5.614
_cell_length_c 7.172
_cell_angle_alpha 90.00
_cell_angle_beta 90.00
_cell_angle_gamma 120.00
_space_group_name_H-M_alt 'P 1'
_space_group_IT_number 1
loop_
_space_group_symop_operation_xyz
'x,y,z'
loop_
_atom_site_label
_atom_site_type_symbol
_atom_site_fract_x
_atom_site_fract_y
_atom_site_fract_z
Sr1 Sr 0.333 0.667 0.640
Sr2 Sr 0.667 0.333 0.360
Sr3 Sr 0.000 0.000 0.000
Cr1 Cr 0.000 0.000 0.500
Fe1 Fe 0.333 0.667 0.210
Fe2 Fe 0.667 0.333 0.790
O1 O 0.333 0.667 0.961
O2 O 0.667 0.333 0.039
O3 O 0.160 0.840 0.334
O4 O 0.840 0.160 0.666
O5 O 0.160 0.320 0.334
O6 O 0.840 0.680 0.666
O7 O 0.680 0.840 0.334
O8 O 0.320 0.160 0.666
```